# 1
YTl4: relaxed, GGA-PBE. Values from VASP.

Calculated values
Energy relative to the elements in meV per atom: 365
Calculated volume in Å³/cell: 209.62
Spin magnetization in μB/cell: 0.00
ΔE to the lowest computed polymorph in meV per atom: 469

Cell and atoms, written as Quantum ESPRESSO input:
```
&SYSTEM
  ibrav = 0, nat = 5, ntyp = 2
/
ATOMIC_SPECIES
Tl 204.38 Tl.upf
Y 88.91 Y.upf
CELL_PARAMETERS angstrom
-0.895 -2.515 -5.307
1.957 -5.189 2.129
-5.537 -1.428 1.611
ATOMIC_POSITIONS crystal
Tl 0.000 0.500 0.500
Tl 0.000 0.000 0.000
Tl 0.500 0.500 0.000
Y 0.500 0.500 0.500
Tl 0.500 0.000 0.500
```

# 2
Y3Tl: relaxed, GGA-PBE. Values from VASP.

Calculated values
Energy relative to the elements in meV per atom: -122
Calculated volume in Å³/cell: 123.10
Spin magnetization in μB/cell: 0.00

Cell and atoms, written as Quantum ESPRESSO input:
```
&SYSTEM
  ibrav = 0, nat = 4, ntyp = 2
/
ATOMIC_SPECIES
Y 88.91 Y.upf
Tl 204.38 Tl.upf
CELL_PARAMETERS angstrom
-8.009 -6.063 -5.178
-8.700 -6.987 -1.793
-10.096 -3.985 -3.148
ATOMIC_POSITIONS crystal
Y 0.254 0.254 0.254
Y 0.500 0.500 0.500
Tl 0.000 0.000 0.000
Y 0.746 0.746 0.746
```

# 3
Y2Tl: relaxed, GGA-PBE. Values from VASP.

Calculated values
Energy relative to the elements in meV per atom: -299
Calculated volume in Å³/cell: 171.89
Spin magnetization in μB/cell: 1.31

Cell and atoms, written as Quantum ESPRESSO input:
```
&SYSTEM
  ibrav = 0, nat = 6, ntyp = 2
/
ATOMIC_SPECIES
Tl 204.38 Tl.upf
Y 88.91 Y.upf
CELL_PARAMETERS angstrom
5.414 0.000 0.000
-2.707 4.688 0.000
0.000 0.000 6.772
ATOMIC_POSITIONS crystal
Tl 0.667 0.333 0.750
Y 0.000 0.000 0.000
Y 0.000 0.000 0.500
Y 0.667 0.333 0.250
Tl 0.333 0.667 0.250
Y 0.333 0.667 0.750
```

# 4
Y2Tl: relaxed, GGA-PBE. Values from VASP.

Calculated values
Energy relative to the elements in meV per atom: -269
Calculated volume in Å³/cell: 716.71
Spin magnetization in μB/cell: 5.76

Cell and atoms, written as Quantum ESPRESSO input:
```
&SYSTEM
  ibrav = 0, nat = 24, ntyp = 2
/
ATOMIC_SPECIES
Tl 204.38 Tl.upf
Y 88.91 Y.upf
CELL_PARAMETERS angstrom
10.045 0.000 0.000
5.023 8.699 0.000
5.023 2.900 8.202
ATOMIC_POSITIONS crystal
Tl 0.719 0.719 0.842
Y 0.500 0.500 0.500
Y 0.313 0.313 0.437
Tl 0.281 0.658 0.781
Y 0.063 0.687 0.187
Y 0.500 0.000 0.000
Y 0.000 0.500 0.000
Y 0.937 0.313 0.813
Tl 0.719 0.719 0.219
Y 0.687 0.687 0.563
Y 0.687 0.063 0.563
Y 0.687 0.063 0.187
Tl 0.342 0.719 0.219
Y 0.313 0.937 0.813
Y 0.937 0.937 0.813
Y 0.500 0.500 0.000
Y 0.937 0.313 0.437
Tl 0.281 0.281 0.781
Y 0.063 0.063 0.187
Y 0.313 0.937 0.437
Y 0.063 0.687 0.563
Tl 0.658 0.281 0.781
Tl 0.281 0.281 0.158
Tl 0.719 0.342 0.219
```

> Which value of calculated volume does entry 4 give?

716.71 Å³/cell

Repeat the first record exactly.
YTl4: relaxed, GGA-PBE. Values from VASP.

Calculated values
Energy relative to the elements in meV per atom: 365
Calculated volume in Å³/cell: 209.62
Spin magnetization in μB/cell: 0.00
ΔE to the lowest computed polymorph in meV per atom: 469

Cell and atoms, written as Quantum ESPRESSO input:
```
&SYSTEM
  ibrav = 0, nat = 5, ntyp = 2
/
ATOMIC_SPECIES
Tl 204.38 Tl.upf
Y 88.91 Y.upf
CELL_PARAMETERS angstrom
-0.895 -2.515 -5.307
1.957 -5.189 2.129
-5.537 -1.428 1.611
ATOMIC_POSITIONS crystal
Tl 0.000 0.500 0.500
Tl 0.000 0.000 0.000
Tl 0.500 0.500 0.000
Y 0.500 0.500 0.500
Tl 0.500 0.000 0.500
```

> Which formula does entry 1 have?

YTl4